Record 1
VASP calculation (PBE) on a relaxed Ba2Y2Ru crystal.

Cell: 7.327 7.327 6.666 Å, 90.00 90.00 90.00°
Sites, in units of the cell vectors:
Ba: 0.816 0.316 0.500
Ba: 0.684 0.816 0.500
Ba: 0.316 0.184 0.500
Ba: 0.184 0.684 0.500
Y: 0.175 0.325 0.000
Y: 0.675 0.175 0.000
Y: 0.325 0.825 0.000
Y: 0.825 0.675 0.000
Ru: 0.000 0.000 0.000
Ru: 0.500 0.500 0.000

## Properties
The energy of formation comes out at 16 kJ per mole of atoms.

Record 2
VASP calculation (PBE) on a relaxed Pm3Mg2Ag crystal.

Cell: 3.814 5.401 8.530 Å, 108.45 90.00 90.00°
Sites, in units of the cell vectors:
Pm: 0.500 0.160 0.319
Pm: 0.500 0.500 0.000
Pm: 0.500 0.840 0.681
Mg: 0.000 0.675 0.350
Mg: 0.000 0.325 0.650
Ag: 0.000 0.000 0.000

## Properties
Its energy above the most stable polymorph in this dataset is 7.1 meV per atom. The energy of formation comes out at -15 kJ per mole of atoms.

Record 3
VASP calculation (PBE) on a relaxed BaHo2Tl9 crystal.

Cell: 4.898 4.898 14.554 Å, 90.00 90.00 90.00°
Sites, in units of the cell vectors:
Tl: 0.500 0.500 0.000
Tl: 0.500 0.000 0.818
Tl: 0.000 0.500 0.500
Tl: 0.500 0.500 0.336
Tl: 0.500 0.000 0.500
Tl: 0.500 0.000 0.182
Tl: 0.500 0.500 0.664
Tl: 0.000 0.500 0.818
Tl: 0.000 0.500 0.182
Ho: 0.000 0.000 0.347
Ho: 0.000 0.000 0.653
Ba: 0.000 0.000 0.000

## Properties
The energy of formation comes out at -22 kJ per mole of atoms.

Record 4
VASP calculation (PBE) on a relaxed Zr2CdRhO crystal.

Cell: 5.229 4.732 5.229 Å, 90.00 90.00 90.00°
Sites, in units of the cell vectors:
O: 0.500 0.500 0.500
Cd: 0.000 0.000 0.000
Zr: 0.000 0.000 0.500
Zr: 0.500 0.000 0.000
Rh: 0.000 0.500 0.000

## Properties
Its uncorrected formation energy is 1473.3 meV/atom.